No. 1
Here is an optimized crystal structure of Y6P2Se3S from the Alexandria database. Energies are from GGA-PBE. Values from VASP.

Geometry as Quantum ESPRESSO input:
```
&SYSTEM
  ibrav = 0, nat = 12, ntyp = 4
/
ATOMIC_SPECIES
Y 88.91 Y.upf
P 30.97 P.upf
Se 78.96 Se.upf
S 32.06 S.upf
ATOMIC_POSITIONS angstrom
Y -0.369 0.000 1.895
Y 4.931 0.000 3.381
Y 4.129 0.000 7.099
Y 11.554 0.000 0.775
Y 10.752 0.000 4.493
Y 16.053 0.000 5.980
P 2.272 0.000 2.615
P 13.412 0.000 5.259
Se 1.240 0.000 6.563
Se 7.842 0.000 3.937
Se 14.443 0.000 1.311
S 8.853 0.000 0.000
CELL_PARAMETERS angstrom
8.853 -2.007 0.000
8.853 2.007 0.000
-2.023 0.000 7.874
```

Calculated values
The electronic total energy is -7.186 eV/atom. The calculation puts the formation energy (no corrections) at -1.837 eV per atom. The value obtained for the total magnetic moment is 0.0 μB/f.u.

***

No. 2
Here is an optimized crystal structure of Tb6Pm2Sm3Tm from the Alexandria database. Energies are from GGA-PBE. Values from VASP.

Geometry as Quantum ESPRESSO input:
```
&SYSTEM
  ibrav = 0, nat = 12, ntyp = 4
/
ATOMIC_SPECIES
Tb 158.93 Tb.upf
Pm 145.00 Pm.upf
Sm 150.36 Sm.upf
Tm 168.93 Tm.upf
ATOMIC_POSITIONS angstrom
Tb 0.003 1.787 8.767
Tb 1.030 0.000 2.930
Tb 0.003 -1.787 8.767
Tb 4.145 1.787 2.935
Tb 3.119 0.000 8.771
Tb 4.145 -1.787 2.935
Pm 2.074 1.790 5.851
Pm 2.074 -1.790 5.851
Sm 3.106 3.586 0.000
Sm 3.106 0.000 0.000
Sm 3.106 -3.586 0.000
Tm -1.032 0.000 5.851
CELL_PARAMETERS angstrom
3.106 -5.377 0.000
3.106 5.377 0.000
-2.064 0.000 11.701
```

Calculated values
The calculation puts the energy of formation from the pure elements at 14 meV/atom. The electronic total energy is -4.646 eV/atom. The value obtained for the total magnetic moment is 0.0 μB/f.u.

***

No. 3
Here is an optimized crystal structure of Pm2Pd5Au12 from the Alexandria database. Energies are from GGA-PBE. Values from VASP.

Geometry as Quantum ESPRESSO input:
```
&SYSTEM
  ibrav = 0, nat = 19, ntyp = 3
/
ATOMIC_SPECIES
Pm 145.00 Pm.upf
Pd 106.42 Pd.upf
Au 196.97 Au.upf
ATOMIC_POSITIONS angstrom
Pm 0.000 0.000 2.676
Pm 0.000 0.000 11.352
Pd -2.382 -1.375 4.676
Pd 0.000 0.000 5.584
Pd -2.382 1.375 9.352
Pd 0.000 2.751 4.676
Pd 0.000 0.000 8.445
Au 0.000 -2.764 4.469
Au -2.394 1.382 4.469
Au -1.447 -2.506 7.014
Au -2.893 0.000 7.014
Au -2.394 -1.382 9.560
Au 1.447 -2.506 7.014
Au -1.447 2.506 7.014
Au 2.394 1.382 4.469
Au 2.893 0.000 7.014
Au 1.447 2.506 7.014
Au 2.394 -1.382 9.560
Au 0.000 2.764 9.560
CELL_PARAMETERS angstrom
4.765 2.751 4.676
-4.765 2.751 4.676
0.000 -5.502 4.676
```

Calculated values
The calculation puts the energy of formation from the pure elements at -344 meV/atom. The electronic total energy is -4.280 eV/atom. The value obtained for the total magnetic moment is 0.0 μB/f.u.